Entry 1:
Computed, not measured: an optimized crystal structure of NdGaCl at the PBE level of DFT.

Results
Space-group type: C2/m
DFT total energy (eV per atom): -4.6205
Spin magnetization (μB per formula unit): 0.00
Calculated volume (Å³ per atom): 27.49

The structure in POSCAR format:
```
NdGaCl
1.0
-3.734 1.372 1.335
-3.268 -2.627 0.153
4.985 -2.267 9.639
Nd Ga Cl
2 2 2
Direct
0.434 0.434 0.803
0.566 0.566 0.197
0.843 0.843 0.029
0.157 0.157 0.971
0.717 0.717 0.654
0.283 0.283 0.346
```

***

Entry 2:
Computed, not measured: an optimized crystal structure of PrNd2GaCl3 at the PBE level of DFT.

Results
Space-group type: P4/mmm
DFT total energy (eV per atom): -4.8112
Spin magnetization (μB per formula unit): 0.00
Calculated volume (Å³ per atom): 28.46

The structure in POSCAR format:
```
PrNd2GaCl3
1.0
5.838 0.000 0.000
0.000 5.838 0.000
0.000 0.000 5.846
Ga Nd Cl Pr
1 2 3 1
Direct
0.000 0.000 0.500
0.000 0.500 0.500
0.500 0.000 0.500
0.500 0.000 0.000
0.500 0.500 0.500
0.000 0.500 0.000
0.000 0.000 0.000
```

***

Entry 3:
Computed, not measured: an optimized crystal structure of GaReCl6O2 at the PBE level of DFT.

Results
Space-group type: P2_1/c
DFT total energy (eV per atom): -4.6464
Spin magnetization (μB per formula unit): 0.00
Calculated volume (Å³ per atom): 25.48

The structure in POSCAR format:
```
GaReCl6O2
1.0
11.892 0.000 0.000
0.000 8.383 0.000
-4.283 0.000 10.222
Cl O Ga Re
24 8 4 4
Direct
0.589 0.298 0.934
0.852 0.466 0.028
0.098 0.745 0.187
0.625 0.723 0.431
0.411 0.702 0.066
0.375 0.277 0.569
0.411 0.798 0.566
0.148 0.966 0.472
0.121 0.206 0.178
0.589 0.202 0.434
0.852 0.034 0.528
0.879 0.706 0.322
0.341 0.971 0.786
0.098 0.755 0.687
0.121 0.294 0.678
0.902 0.245 0.313
0.879 0.794 0.822
0.902 0.255 0.813
0.659 0.029 0.214
0.659 0.471 0.714
0.341 0.529 0.286
0.148 0.534 0.972
0.625 0.777 0.931
0.375 0.223 0.069
0.185 0.594 0.496
0.659 0.095 0.749
0.659 0.405 0.249
0.815 0.094 0.004
0.815 0.406 0.504
0.185 0.906 0.996
0.341 0.595 0.751
0.341 0.905 0.251
0.246 0.151 0.627
0.754 0.651 0.873
0.246 0.349 0.127
0.754 0.849 0.373
0.743 0.282 0.375
0.257 0.782 0.125
0.257 0.718 0.625
0.743 0.218 0.875
```

***

Entry 4:
Computed, not measured: an optimized crystal structure of Pm3GaCl3 at the PBE level of DFT.

Results
Space-group type: Pm-3m
DFT total energy (eV per atom): -4.7979
Spin magnetization (μB per formula unit): 0.00
Calculated volume (Å³ per atom): 27.54

The structure in POSCAR format:
```
Pm3GaCl3
1.0
-3.457 0.054 4.628
4.560 -0.946 3.417
0.790 5.698 0.523
Ga Cl Pm
1 3 3
Direct
0.500 0.500 0.500
0.500 0.000 0.000
0.000 0.500 0.000
0.000 0.000 0.500
0.500 0.500 0.000
0.000 0.500 0.500
0.500 0.000 0.500
```

***

Entry 5:
Computed, not measured: an optimized crystal structure of PmGaCl at the PBE level of DFT.

Results
Space-group type: C2/m
DFT total energy (eV per atom): -4.6127
Spin magnetization (μB per formula unit): 0.00
Calculated volume (Å³ per atom): 27.43

The structure in POSCAR format:
```
PmGaCl
1.0
3.609 -2.084 0.000
3.609 2.084 0.000
-0.334 0.000 10.938
Cl Pm Ga
2 2 2
Direct
0.318 0.318 0.160
0.682 0.682 0.840
0.009 0.009 0.694
0.991 0.991 0.306
0.335 0.335 0.529
0.665 0.665 0.471
```

***

Entry 6:
Computed, not measured: an optimized crystal structure of Pr2GaSiCl2 at the PBE level of DFT.

Results
Space-group type: P3m1
DFT total energy (eV per atom): -5.0242
Spin magnetization (μB per formula unit): 0.00
Calculated volume (Å³ per atom): 27.24

The structure in POSCAR format:
```
Pr2GaSiCl2
1.0
-2.709 -0.721 3.030
-0.401 -1.927 -3.629
6.343 -8.288 3.701
Pr Ga Si Cl
2 1 1 2
Direct
0.667 0.333 0.307
0.667 0.333 0.693
0.000 0.000 0.519
0.333 0.667 0.482
0.000 0.000 0.154
0.333 0.667 0.846
```

***

Entry 7:
Computed, not measured: an optimized crystal structure of PrSmGa2Cl2 at the PBE level of DFT.

Results
Space-group type: P3m1
DFT total energy (eV per atom): -4.6087
Spin magnetization (μB per formula unit): 0.01
Calculated volume (Å³ per atom): 27.57

The structure in POSCAR format:
```
PrSmGa2Cl2
1.0
-1.512 -0.217 -3.898
0.884 -3.512 2.101
-10.156 -0.193 3.949
Ga Cl Pr Sm
2 2 1 1
Direct
0.667 0.333 0.532
0.333 0.667 0.474
0.667 0.333 0.154
0.333 0.667 0.839
0.000 0.000 0.306
0.000 0.000 0.695
```

***

Entry 8:
Computed, not measured: an optimized crystal structure of Sm2GaSiCl2 at the PBE level of DFT.

Results
Space-group type: P3m1
DFT total energy (eV per atom): -4.9886
Spin magnetization (μB per formula unit): 0.00
Calculated volume (Å³ per atom): 25.97

The structure in POSCAR format:
```
Sm2GaSiCl2
1.0
4.070 0.000 0.000
-2.035 3.525 0.000
0.000 0.000 10.860
Cl Ga Si Sm
2 1 1 2
Direct
0.000 0.000 0.157
0.667 0.333 0.843
0.000 0.000 0.521
0.667 0.333 0.480
0.333 0.667 0.308
0.333 0.667 0.691
```

***

Entry 9:
Computed, not measured: an optimized crystal structure of TbSmGa2Cl2 at the PBE level of DFT.

Results
Space-group type: P3m1
DFT total energy (eV per atom): -4.5658
Spin magnetization (μB per formula unit): 0.01
Calculated volume (Å³ per atom): 27.10

The structure in POSCAR format:
```
TbSmGa2Cl2
1.0
-0.588 0.474 4.054
-1.845 -3.097 -2.003
8.699 -6.488 2.019
Sm Ga Cl Tb
1 2 2 1
Direct
0.000 0.000 0.310
0.667 0.333 0.472
0.333 0.667 0.532
0.333 0.667 0.164
0.667 0.333 0.831
0.000 0.000 0.690
```

***

Entry 10:
Computed, not measured: an optimized crystal structure of TbYGa2Cl2 at the PBE level of DFT.

Results
Space-group type: P3m1
DFT total energy (eV per atom): -4.8470
Spin magnetization (μB per formula unit): 0.01
Calculated volume (Å³ per atom): 26.45

The structure in POSCAR format:
```
TbYGa2Cl2
1.0
-0.964 -3.626 -1.624
3.869 0.809 1.043
-1.869 -3.997 10.036
Y Tb Cl Ga
1 1 2 2
Direct
0.000 0.000 0.311
0.000 0.000 0.689
0.333 0.667 0.167
0.667 0.333 0.833
0.667 0.333 0.469
0.333 0.667 0.531
```

***

Entry 11:
Computed, not measured: an optimized crystal structure of Th4GaCl at the PBE level of DFT.

Results
Space-group type: Cmmm
DFT total energy (eV per atom): -5.9038
Spin magnetization (μB per formula unit): 0.03
Calculated volume (Å³ per atom): 31.91

The structure in POSCAR format:
```
Th4GaCl
1.0
4.787 -4.902 0.000
4.787 4.902 0.000
0.000 0.000 4.080
Th Cl Ga
4 1 1
Direct
0.297 0.297 0.500
0.703 0.703 0.500
0.214 0.786 0.000
0.786 0.214 0.000
0.500 0.500 0.000
0.000 0.000 0.500
```

***

Entry 12:
Computed, not measured: an optimized crystal structure of ThGa3Cl at the PBE level of DFT.

Results
Space-group type: Pm-3m
DFT total energy (eV per atom): -3.5786
Spin magnetization (μB per formula unit): 0.00
Calculated volume (Å³ per atom): 24.17

The structure in POSCAR format:
```
ThGa3Cl
1.0
4.944 0.000 0.000
0.000 4.944 0.000
0.000 0.000 4.944
Th Ga Cl
1 3 1
Direct
0.500 0.500 0.500
0.000 0.500 0.000
0.000 0.000 0.500
0.500 0.000 0.000
0.000 0.000 0.000
```